Compound: AlZn
Source: Alexandria via LeMat-Bulk
Functional: GGA-PBE
Structure: optimized geometry

The space group is P4_2/mnm (No. 136) and the conventional cell measures 5.222, 5.222 and 5.368 Å, with angles of 90.00, 90.00 and 90.00 degrees. The inequivalent atoms are Al at (0.192, 0.192, 0.000) and Zn at (0.191, 0.191, 0.500).

The density of states at the Fermi level comes out at 4.20 states/eV per cell. The formation energy comes out at 0.244 eV/atom. The electronic total energy is -18.11 eV for the cell shown.